# 1
This record from the Alexandria database describes Dy2Er5Ru5 after structural relaxation. The functional is PBE. Values from VASP.

Summary:
crystal system: monoclinic
uncorrected energy: -81.5 eV/f.u.

Geometry as Quantum ESPRESSO input:
```
&SYSTEM
  ibrav = 0, nat = 12, ntyp = 3
/
ATOMIC_SPECIES
Dy 162.50 Dy.upf
Er 167.26 Er.upf
Ru 101.07 Ru.upf
CELL_PARAMETERS angstrom
-0.5100 -1.1627 -4.6329
3.5394 -2.2838 -2.3092
-4.1875 -12.6912 1.1740
ATOMIC_POSITIONS crystal
Dy 0.0716 0.0716 0.7840
Dy 0.9284 0.9284 0.2160
Er 0.5000 0.5000 0.5000
Er 0.3099 0.3099 0.0707
Er 0.2152 0.2152 0.3547
Er 0.7848 0.7848 0.6453
Er 0.6901 0.6901 0.9293
Ru 0.8549 0.8549 0.4353
Ru 0.3839 0.3839 0.8472
Ru 0.6161 0.6161 0.1528
Ru 0.1451 0.1451 0.5647
Ru 0.0000 0.0000 0.0000
```

=====

# 2
This record from the Alexandria database describes DyEr5Ru6 after structural relaxation. The functional is PBE. Values from VASP.

Summary:
crystal system: monoclinic
uncorrected energy: -87.5 eV/f.u.

Geometry as Quantum ESPRESSO input:
```
&SYSTEM
  ibrav = 0, nat = 12, ntyp = 3
/
ATOMIC_SPECIES
Ru 101.07 Ru.upf
Er 167.26 Er.upf
Dy 162.50 Dy.upf
CELL_PARAMETERS angstrom
-0.6837 4.7193 0.3105
-3.5287 -0.1321 -5.7634
-3.8949 -3.3884 6.4252
ATOMIC_POSITIONS crystal
Ru 0.8329 0.5826 0.6660
Ru 0.8329 0.0833 0.6660
Ru 0.5000 0.7492 0.0000
Ru 0.5000 0.2508 0.0000
Ru 0.1671 0.9167 0.3340
Ru 0.1671 0.4174 0.3340
Er 0.6672 0.1672 0.3344
Er 0.3333 0.3334 0.6667
Er 0.0000 0.5000 0.0000
Er 0.6667 0.6666 0.3333
Er 0.3328 0.8328 0.6656
Dy 0.0000 0.0000 0.0000
```

=====

# 3
This record from the Alexandria database describes DyErRu after structural relaxation. The functional is PBE. Values from VASP.

Summary:
energy above the lowest structure with this stoichiometry: 0.00 eV per formula unit
crystal system: tetragonal

Geometry as Quantum ESPRESSO input:
```
&SYSTEM
  ibrav = 0, nat = 3, ntyp = 3
/
ATOMIC_SPECIES
Ru 101.07 Ru.upf
Er 167.26 Er.upf
Dy 162.50 Dy.upf
CELL_PARAMETERS angstrom
-2.6413 -0.1481 2.1148
-0.2015 -3.3457 -0.4860
5.4425 0.7850 4.1404
ATOMIC_POSITIONS crystal
Ru 0.6656 0.6656 0.3312
Er 0.0402 0.0402 0.0803
Dy 0.2943 0.2943 0.5885
```

=====

# 4
This record from the Alexandria database describes Dy2Er6Ru after structural relaxation. The functional is PBE. Values from VASP.

Summary:
crystal system: triclinic
uncorrected energy: -46.5 eV/f.u.

Geometry as Quantum ESPRESSO input:
```
&SYSTEM
  ibrav = 0, nat = 9, ntyp = 3
/
ATOMIC_SPECIES
Dy 162.50 Dy.upf
Er 167.26 Er.upf
Ru 101.07 Ru.upf
CELL_PARAMETERS angstrom
-2.7683 -1.4139 1.8896
-4.6768 -0.4128 -7.1666
7.9920 -7.4812 6.1058
ATOMIC_POSITIONS crystal
Dy 0.4995 0.7674 0.4677
Dy 0.5005 0.2326 0.5323
Er 0.9985 0.2616 0.3005
Er 0.9999 0.2281 0.7836
Er 0.0015 0.7384 0.6995
Er 0.5002 0.2846 0.0523
Er 0.0001 0.7719 0.2164
Er 0.4998 0.7154 0.9477
Ru 0.0000 0.0000 0.0000
```

=====

no.,V (Å³ per cell)
1,262.3
2,230.4
3,74.0
4,268.3